The following is a PBE+U calculation of CrCoP2O after structural relaxation, from Alexandria via LeMat-Bulk.

Values from the calculation:
Spin magnetization in μB per formula unit: 3.56
D(E_F) in states/eV/cell: 1.57
ΔE to the lowest computed polymorph in eV per formula unit: 0.00

a = 4.7711 Å, b = 4.7711 Å, c = 3.4828 Å
α = 90.00°, β = 90.00°, γ = 90.00°
Last column: magnetic moment on the atom in μB.
Fractional coordinates of all 5 atoms:
Cr 0.0000 0.0000 0.0000  2.21
Co 0.5000 0.5000 0.5000  2.48
O 0.0000 0.0000 0.5000  -0.28
P 0.0000 0.5000 0.0000  -0.25
P 0.5000 0.0000 0.0000  -0.25